No. 1
## Sc3Sb2Te (GGA-PBE)

Data for Sc3Sb2Te after structural relaxation.

uncorrected formation energy	-1.030	eV per atom
uncorrected energy	-6.094	eV per atom
V	25.53	A^3/atom

Cell lengths 4.1658, 5.8946, 12.4782 Å; angles 90.00, 90.00, 90.00 degrees
Space group Immm (No. 71)
Asymmetric unit:
Sc 0.0000 0.0000 0.0000 [2 per cell]
Sc 0.0000 0.0000 0.3274 [4 per cell]
Sb 0.0000 0.5000 0.3351 [4 per cell]
Te 0.0000 0.5000 0.0000 [2 per cell]

=====

No. 2
## TlBRuW2 (GGA-PBE)

Data for TlBRuW2 after structural relaxation.

energy of formation from the pure elements	3.90	eV per atom
uncorrected energy	-4.946	eV per atom
V	24.16	A^3/atom

Cell lengths 4.9869, 4.9869, 4.8576 Å; angles 90.00, 90.00, 90.00 degrees
Space group P4/mmm (No. 123)
Asymmetric unit:
Tl 0.0000 0.0000 0.0000 [1 per cell]
B 0.5000 0.5000 0.5000 [1 per cell]
Ru 0.0000 0.0000 0.5000 [1 per cell]
W 0.0000 0.5000 0.0000 [2 per cell]

=====

No. 3
## ScFeTe2 (GGA-PBE)

Data for ScFeTe2 after structural relaxation.

uncorrected formation energy	-0.257	eV per atom
uncorrected energy	-5.527	eV per atom
V	23.30	A^3/atom

Cell lengths 3.7791, 3.6368, 6.8817 Å; angles 90.00, 99.74, 90.00 degrees
Space group P2/m (No. 10)
Asymmetric unit:
Sc 0.0000 0.0000 0.0000 [1 per cell]
Fe 0.0000 0.0000 0.5000 [1 per cell]
Te 0.3594 0.5000 0.7485 [2 per cell]

=====

No. 4
## CaCoH3 (GGA-PBE)

Data for CaCoH3 after structural relaxation.

uncorrected energy	-3.711	eV per atom
V	11.62	A^3/atom

Cell lengths 5.7450, 5.7450, 6.0977 Å; angles 90.00, 90.00, 120.00 degrees
Space group R3m (No. 160, hexagonal axes)
Asymmetric unit:
Ca 0.0000 0.0000 0.0000 [3 per cell]
Co 0.0000 0.0000 0.4642 [3 per cell]
H 0.2131 0.4262 0.9824 [9 per cell]

=====

| no. | DOS at the Fermi energy (states/eV/atom) |
| --- | --- |
| 1 | 0.4055 |
| 2 | 1.8303 |
| 3 | 0.9139 |
| 4 | 0.3979 |